Entry from Alexandria via LeMat-Bulk: crystalline Tb3HgTe2 at its relaxed geometry (PBE).

```
Tb3HgTe2
1.0
0.000 6.172 12.902
4.425 0.000 12.902
4.425 6.172 0.000
Tb Hg Te
12 4 8
direct
0.042 0.540 0.202
0.118 0.632 0.632
0.202 0.717 0.042
0.283 0.798 0.460
0.368 0.882 0.882
0.460 0.958 0.283
0.540 0.042 0.717
0.632 0.118 0.118
0.717 0.202 0.540
0.798 0.283 0.958
0.882 0.368 0.368
0.958 0.460 0.798
0.042 0.042 0.208
0.208 0.208 0.042
0.792 0.792 0.958
0.958 0.958 0.792
0.127 0.127 0.623
0.294 0.294 0.456
0.377 0.377 0.873
0.456 0.456 0.294
0.544 0.544 0.706
0.623 0.623 0.127
0.706 0.706 0.544
0.873 0.873 0.377
```

Values from the calculation:
raw formation energy = -1032.8 meV per atom
magnetization = 0.00 μB per cell
calculated density = 8.79 g/cm³
ΔE to the lowest computed polymorph = 12.2 meV per atom
calculated volume = 29.36 Å³ per atom